#P
First-principles (PBE-GGA) data for crystalline NaCaSn6 at its relaxed geometry, as listed in the Alexandria database.

Values from the calculation:
Magnetic moment ... 0.000 μB per atom
Space-group type ... Amm2, No. 38
ρ ... 5.89 g/cm³

```
NaCaSn6
1.0
5.357 0.000 0.000
0.000 3.435 5.939
0.000 -3.435 5.939
Na Ca Sn
1 1 6
direct
0.000 0.000 0.000 Na
0.500 0.668 0.668 Ca
0.000 0.030 0.485 Sn
0.000 0.485 0.030 Sn
0.000 0.486 0.486 Sn
0.500 0.161 0.161 Sn
0.500 0.161 0.680 Sn
0.500 0.680 0.161 Sn
```

=====

#Q
First-principles (PBE-GGA) data for crystalline NaCaSn6 at its relaxed geometry, as listed in the Alexandria database.

Values from the calculation:
Magnetic moment ... 0.000 μB per atom
Space-group type ... P4/mmm, No. 123
ρ ... 6.01 g/cm³

```
NaCaSn6
1.0
4.726 0.000 0.000
0.000 4.726 0.000
0.000 0.000 9.583
Na Ca Sn
1 1 6
direct
0.000 0.000 0.000 Na
0.000 0.000 0.500 Ca
0.000 0.500 0.247 Sn
0.000 0.500 0.753 Sn
0.500 0.000 0.247 Sn
0.500 0.000 0.753 Sn
0.500 0.500 0.000 Sn
0.500 0.500 0.500 Sn
```

=====

What is the stability order? It is #Q, #P, from most stable to least stable.

=====

#P
First-principles (PBE-GGA) data for crystalline Na2SrCa4 at its relaxed geometry, as listed in the Alexandria database.

Values from the calculation:
Magnetic moment ... 0.000 μB per atom
Space-group type ... Cmmm, No. 65
ρ ... 1.63 g/cm³

```
Na2SrCa4
1.0
3.173 -11.959 0.000
3.173 11.959 0.000
0.000 0.000 3.947
Na Sr Ca
2 1 4
direct
0.070 0.930 0.000 Na
0.930 0.070 0.000 Na
0.500 0.500 0.500 Sr
0.205 0.795 0.500 Ca
0.346 0.654 0.000 Ca
0.654 0.346 0.000 Ca
0.795 0.205 0.500 Ca
```

=====

#Q
First-principles (PBE-GGA) data for crystalline Na2SrCa4 at its relaxed geometry, as listed in the Alexandria database.

Values from the calculation:
Magnetic moment ... 0.262 μB per atom
Space-group type ... I4/mmm, No. 139
ρ ... 1.31 g/cm³

```
Na2SrCa4
1.0
-3.258 3.258 8.796
3.258 -3.258 8.796
3.258 3.258 -8.796
Na Sr Ca
2 1 4
direct
0.099 0.099 0.000 Na
0.901 0.901 0.000 Na
0.500 0.500 0.000 Sr
0.000 0.500 0.500 Ca
0.298 0.298 0.000 Ca
0.500 0.000 0.500 Ca
0.702 0.702 0.000 Ca
```

=====

What is the stability order? It is #P, #Q, from most stable to least stable.

=====

#P
First-principles (PBE-GGA) data for crystalline Na2Sr8Ca at its relaxed geometry, as listed in the Alexandria database.

Values from the calculation:
Magnetic moment ... 0.000 μB per atom
Space-group type ... C2/m, No. 12
ρ ... 2.27 g/cm³

```
Na2Sr8Ca
1.0
5.264 -8.572 0.000
5.264 8.572 0.000
-2.376 0.000 6.382
Na Sr Ca
2 8 1
direct
0.191 0.809 0.000 Na
0.809 0.191 0.000 Na
0.110 0.110 0.312 Sr
0.181 0.415 0.898 Sr
0.271 0.729 0.500 Sr
0.415 0.181 0.898 Sr
0.585 0.819 0.102 Sr
0.729 0.271 0.500 Sr
0.819 0.585 0.102 Sr
0.890 0.890 0.688 Sr
0.500 0.500 0.500 Ca
```

=====

#Q
First-principles (PBE-GGA) data for crystalline Na2Sr8Ca at its relaxed geometry, as listed in the Alexandria database.

Values from the calculation:
Magnetic moment ... 0.000 μB per atom
Space-group type ... C2/m, No. 12
ρ ... 2.34 g/cm³

```
Na2Sr8Ca
1.0
10.884 -3.276 0.000
10.884 3.276 0.000
-0.192 0.000 7.845
Na Sr Ca
2 8 1
direct
0.138 0.138 0.167 Na
0.862 0.862 0.833 Na
0.038 0.038 0.746 Sr
0.217 0.217 0.611 Sr
0.318 0.318 0.080 Sr
0.407 0.407 0.556 Sr
0.593 0.593 0.444 Sr
0.682 0.682 0.920 Sr
0.783 0.783 0.389 Sr
0.962 0.962 0.254 Sr
0.500 0.500 0.000 Ca
```

=====

What is the stability order? It is #Q, #P, from most stable to least stable.

=====

#P
First-principles (PBE-GGA) data for crystalline Na6SrCa at its relaxed geometry, as listed in the Alexandria database.

Values from the calculation:
Magnetic moment ... 0.000 μB per atom
Space-group type ... Pm-3, No. 200
ρ ... 1.36 g/cm³

```
Na6SrCa
1.0
6.872 0.000 0.000
0.000 6.872 0.000
0.000 0.000 6.872
Na Sr Ca
6 1 1
direct
0.000 0.255 0.500 Na
0.000 0.745 0.500 Na
0.255 0.500 0.000 Na
0.500 0.000 0.255 Na
0.500 0.000 0.745 Na
0.745 0.500 0.000 Na
0.000 0.000 0.000 Sr
0.500 0.500 0.500 Ca
```

=====

#Q
First-principles (PBE-GGA) data for crystalline Na6SrCa at its relaxed geometry, as listed in the Alexandria database.

Values from the calculation:
Magnetic moment ... 0.000 μB per atom
Space-group type ... Amm2, No. 38
ρ ... 1.38 g/cm³

```
Na6SrCa
1.0
6.039 0.000 0.000
0.000 4.260 6.230
0.000 -4.260 6.230
Na Sr Ca
6 1 1
direct
0.000 0.000 0.000 Na
0.000 0.519 0.947 Na
0.000 0.947 0.519 Na
0.500 0.163 0.727 Na
0.500 0.669 0.669 Na
0.500 0.727 0.163 Na
0.500 0.217 0.217 Sr
0.000 0.462 0.462 Ca
```

=====

What is the stability order? It is #Q, #P, from most stable to least stable.